No. 1
Computed, not measured: BiAsIBr2 at its PBEsol-relaxed geometry at the meta-GGA SCAN level of DFT.

Calculated values
As for the space group: P4/mmm, No. 123. The total energy is -34.6786 eV/atom.

Cell lengths 5.438, 5.438, 6.038 Å; angles 90.00, 90.00, 90.00 degrees
Site moments in Bohr magnetons follow the coordinates.
Atoms (fractional coordinates):
As1 0.000 0.000 0.500  0.65
I1 0.500 0.500 0.500  -0.08
Bi1 0.000 0.000 0.000  0.02
Br1 0.500 0.000 0.000  0.02
Br2 0.000 0.500 0.000  0.02



No. 2
Computed, not measured: YSc2Ga2 at its PBEsol-relaxed geometry at the meta-GGA SCAN level of DFT.

Calculated values
As for the energy relative to the elements: -0.577 eV/atom. As for the space group: P4/mbm, No. 127. The total energy is -18.3786 eV/atom.

Cell lengths 3.283, 8.038, 8.038 Å; angles 90.00, 90.00, 90.00 degrees
Atoms (fractional coordinates):
Ga1 0.000 0.161 0.339
Ga2 0.000 0.839 0.661
Ga3 0.000 0.339 0.839
Ga4 0.000 0.661 0.161
Y1 0.000 0.500 0.500
Y2 0.000 0.000 0.000
Sc1 0.500 0.142 0.642
Sc2 0.500 0.858 0.358
Sc3 0.500 0.642 0.858
Sc4 0.500 0.358 0.142



No. 3
Computed, not measured: BaZnGa2Bi at its PBEsol-relaxed geometry at the meta-GGA SCAN level of DFT.

Calculated values
As for the energy relative to the elements: 0.411 eV/atom. As for the space group: P4/mmm, No. 123. The total energy is -32.4565 eV/atom.

Cell lengths 5.471, 5.471, 6.649 Å; angles 90.00, 90.00, 90.00 degrees
Atoms (fractional coordinates):
Ga1 0.000 0.500 0.000
Ga2 0.500 0.000 0.000
Zn1 0.500 0.500 0.500
Ba1 0.000 0.000 0.500
Bi1 0.000 0.000 0.000



No. 4
Computed, not measured: TcNi4 at its PBEsol-relaxed geometry at the meta-GGA SCAN level of DFT.

Calculated values
As for the energy relative to the elements: 0.019 eV/atom. As for the space group: I4/m, No. 87. The total energy is -19.9319 eV/atom.

Cell lengths 3.512, 4.324, 4.324 Å; angles 80.51, 66.04, 66.04 degrees
Atoms (fractional coordinates):
Ni1 0.201 0.197 0.400
Ni2 0.799 0.803 0.600
Ni3 0.601 0.600 0.197
Ni4 0.399 0.400 0.803
Tc1 0.000 0.000 0.000



No. 5
Computed, not measured: Ag2Pt at its PBEsol-relaxed geometry at the meta-GGA SCAN level of DFT.

Calculated values
As for the energy relative to the elements: -0.008 eV/atom. As for the space group: P2/m, No. 10. The total energy is -44.3175 eV/atom. As for the energy above the lowest structure with this stoichiometry: 1 meV per atom.

Cell lengths 2.796, 6.915, 9.854 Å; angles 90.53, 90.00, 90.00 degrees
Atoms (fractional coordinates):
Pt1 0.000 0.000 0.500
Pt2 0.500 0.680 0.421
Pt3 0.500 0.320 0.579
Pt4 0.000 0.000 0.000
Ag1 0.000 0.654 0.665
Ag2 0.000 0.331 0.830
Ag3 0.500 0.993 0.750
Ag4 0.500 0.007 0.250
Ag5 0.000 0.346 0.335
Ag6 0.500 0.332 0.081
Ag7 0.500 0.668 0.919
Ag8 0.000 0.669 0.170



No. 6
Computed, not measured: InHg2 at its PBEsol-relaxed geometry at the meta-GGA SCAN level of DFT.

Calculated values
As for the energy relative to the elements: 0.035 eV/atom. As for the space group: I4_1/amd, No. 141. The total energy is -56.5377 eV/atom.

Cell lengths 3.196, 3.196, 14.411 Å; angles 96.37, 96.37, 90.00 degrees
Atoms (fractional coordinates):
Hg1 0.581 0.581 0.161
Hg2 0.669 0.169 0.339
Hg3 0.419 0.419 0.839
Hg4 0.831 0.331 0.661
In1 0.000 0.000 0.000
In2 0.250 0.750 0.500



No. 7
Computed, not measured: TcGeF2 at its PBEsol-relaxed geometry at the meta-GGA SCAN level of DFT.

Calculated values
As for the space group: R-3m, No. 166. The total energy is -15.9931 eV/atom.

Cell lengths 2.673, 2.673, 8.128 Å; angles 80.54, 80.54, 60.00 degrees
Atoms (fractional coordinates):
Ge1 0.000 0.000 0.000
F1 0.086 0.086 0.741
F2 0.914 0.914 0.259
Tc1 0.500 0.500 0.500



No. 8
Computed, not measured: TaTe2Os at its PBEsol-relaxed geometry at the meta-GGA SCAN level of DFT.

Calculated values
As for the space group: Fm-3m, No. 225. The total energy is -52.6845 eV/atom. As for the energy above the lowest structure with this stoichiometry: 395 meV per atom.

Cell lengths 4.703, 4.703, 4.703 Å; angles 60.00, 60.00, 60.00 degrees
Atoms (fractional coordinates):
Os1 0.500 0.500 0.500
Te1 0.250 0.250 0.250
Te2 0.750 0.750 0.750
Ta1 0.000 0.000 0.000



No. 9
Computed, not measured: LiAg3 at its PBEsol-relaxed geometry at the meta-GGA SCAN level of DFT.

Calculated values
As for the energy relative to the elements: -0.078 eV/atom. As for the space group: P-6m2, No. 187. The total energy is -24.2010 eV/atom.

Cell lengths 2.859, 2.859, 9.157 Å; angles 90.00, 90.00, 120.00 degrees
Atoms (fractional coordinates):
Li1 0.333 0.667 0.500
Ag1 0.000 0.000 0.259
Ag2 0.000 0.000 0.741
Ag3 0.333 0.667 0.000



No. 10
Computed, not measured: Ta2NiPt at its PBEsol-relaxed geometry at the meta-GGA SCAN level of DFT.

Calculated values
As for the energy relative to the elements: -0.117 eV/atom. As for the space group: R-3m, No. 166. The total energy is -55.0006 eV/atom.

Cell lengths 2.814, 2.814, 9.051 Å; angles 81.06, 81.06, 60.00 degrees
Atoms (fractional coordinates):
Ni1 0.500 0.500 0.500
Ta1 0.754 0.754 0.739
Ta2 0.246 0.246 0.261
Pt1 0.000 0.000 0.000



No. 11
Computed, not measured: Tc2C at its PBEsol-relaxed geometry at the meta-GGA SCAN level of DFT.

Calculated values
As for the energy relative to the elements: 0.042 eV/atom. As for the space group: R-3m, No. 166. The total energy is -26.6979 eV/atom. As for the energy above the lowest structure with this stoichiometry: 10 meV per atom.

Cell lengths 2.844, 2.844, 5.013 Å; angles 73.52, 73.52, 60.00 degrees
Atoms (fractional coordinates):
C1 0.000 0.000 0.000
Tc1 0.241 0.241 0.276
Tc2 0.759 0.759 0.724



No. 12
Computed, not measured: La2CdRh at its PBEsol-relaxed geometry at the meta-GGA SCAN level of DFT.

Calculated values
As for the energy relative to the elements: -0.591 eV/atom. As for the space group: P2/m, No. 10. The total energy is -38.1903 eV/atom.

Cell lengths 3.721, 3.866, 7.141 Å; angles 97.61, 90.00, 90.00 degrees
Atoms (fractional coordinates):
Rh1 0.500 0.500 0.500
La1 0.000 0.921 0.718
La2 0.000 0.079 0.282
Cd1 0.500 0.500 0.000



No. 13
Computed, not measured: ZnRhBr2 at its PBEsol-relaxed geometry at the meta-GGA SCAN level of DFT.

Calculated values
As for the space group: Fm-3m, No. 225. The total energy is -21.1174 eV/atom. As for the energy above the lowest structure with this stoichiometry: 649 meV per atom.

Cell lengths 4.678, 4.678, 4.678 Å; angles 60.00, 60.00, 60.00 degrees
Site moments in Bohr magnetons follow the coordinates.
Atoms (fractional coordinates):
Br1 0.750 0.750 0.750  0.10
Br2 0.250 0.250 0.250  0.10
Zn1 0.500 0.500 0.500  -0.07
Rh1 0.000 0.000 0.000  1.17



No. 14
Computed, not measured: PdPtS2N at its PBEsol-relaxed geometry at the meta-GGA SCAN level of DFT.

Calculated values
As for the space group: P4/mmm, No. 123. The total energy is -25.1061 eV/atom.

Cell lengths 3.536, 4.759, 4.759 Å; angles 90.00, 90.00, 90.00 degrees
Atoms (fractional coordinates):
Pt1 0.500 0.500 0.500
S1 0.000 0.500 0.000
S2 0.000 0.000 0.500
Pd1 0.000 0.000 0.000
N1 0.500 0.000 0.000



No. 15
Computed, not measured: CdPtAu2 at its PBEsol-relaxed geometry at the meta-GGA SCAN level of DFT.

Calculated values
As for the energy relative to the elements: -0.143 eV/atom. As for the space group: I4/mmm, No. 139. The total energy is -59.8734 eV/atom.

Cell lengths 4.094, 4.094, 4.953 Å; angles 114.41, 114.41, 90.00 degrees
Atoms (fractional coordinates):
Au1 0.750 0.250 0.500
Au2 0.250 0.750 0.500
Cd1 0.500 0.500 0.000
Pt1 0.000 0.000 0.000



No. 16
Computed, not measured: ScHg2I at its PBEsol-relaxed geometry at the meta-GGA SCAN level of DFT.

Calculated values
As for the space group: Fm-3m, No. 225. The total energy is -46.7001 eV/atom.

Cell lengths 5.249, 5.249, 5.249 Å; angles 60.00, 60.00, 60.00 degrees
Atoms (fractional coordinates):
Hg1 0.250 0.250 0.250
Hg2 0.750 0.750 0.750
I1 0.500 0.500 0.500
Sc1 0.000 0.000 0.000



No. 17
Computed, not measured: Ta2AlPt at its PBEsol-relaxed geometry at the meta-GGA SCAN level of DFT.

Calculated values
As for the energy relative to the elements: -0.536 eV/atom. As for the space group: Cmmm, No. 65. The total energy is -53.3142 eV/atom.

Cell lengths 2.794, 5.006, 5.006 Å; angles 113.20, 90.00, 90.00 degrees
Atoms (fractional coordinates):
Ta1 0.000 0.000 0.500
Ta2 0.000 0.500 0.000
Al1 0.500 0.000 0.000
Pt1 0.500 0.500 0.500



No. 18
Computed, not measured: V2P2O9 at its PBEsol-relaxed geometry at the meta-GGA SCAN level of DFT.

Calculated values
As for the space group: Pbcn, No. 60. The total energy is -11.1376 eV/atom. As for the energy above the lowest structure with this stoichiometry: 0 meV per atom.

Cell lengths 7.451, 8.367, 9.524 Å; angles 90.00, 90.00, 90.00 degrees
Site moments in Bohr magnetons follow the coordinates.
Atoms (fractional coordinates):
P1 0.542 0.498 0.799  0.01
P2 0.042 0.498 0.201  0.01
P3 0.458 0.502 0.201  0.01
P4 0.542 0.002 0.299  0.01
P5 0.458 0.998 0.701  0.01
P6 0.042 0.002 0.701  0.01
P7 0.958 0.998 0.299  0.01
P8 0.958 0.502 0.799  0.01
O1 0.750 0.181 0.971  -0.13
O2 0.750 0.000 0.336  0.00
O3 0.025 0.000 0.864  -0.01
O4 0.525 0.000 0.136  -0.01
O5 0.250 0.500 0.164  0.00
O6 0.975 0.500 0.636  -0.01
O7 0.964 0.157 0.647  0.01
O8 0.536 0.843 0.647  0.01
O9 0.037 0.146 0.365  0.01
O10 0.964 0.343 0.147  0.01
O11 0.036 0.657 0.853  0.01
O12 0.475 0.000 0.864  -0.01
O13 0.537 0.354 0.135  0.01
O14 0.037 0.354 0.865  0.01
O15 0.463 0.646 0.865  0.01
O16 0.537 0.146 0.635  0.01
O17 0.463 0.854 0.365  0.01
O18 0.250 0.681 0.529  -0.13
O19 0.750 0.319 0.471  -0.13
O20 0.975 0.000 0.136  -0.01
O21 0.250 0.819 0.029  -0.13
O22 0.750 0.681 0.471  -0.13
O23 0.475 0.500 0.364  -0.01
O24 0.025 0.500 0.364  -0.01
O25 0.963 0.646 0.135  0.01
O26 0.036 0.843 0.353  0.01
O27 0.525 0.500 0.636  -0.01
O28 0.963 0.854 0.635  0.01
O29 0.250 0.000 0.664  0.00
O30 0.536 0.657 0.147  0.01
O31 0.250 0.181 0.029  -0.13
O32 0.750 0.500 0.836  0.00
O33 0.750 0.819 0.971  -0.13
O34 0.464 0.343 0.853  0.01
O35 0.464 0.157 0.353  0.01
O36 0.250 0.319 0.529  -0.13
V1 0.034 0.811 0.003  1.06
V2 0.534 0.811 0.997  1.06
V3 0.534 0.689 0.497  1.06
V4 0.966 0.189 0.997  1.06
V5 0.466 0.189 0.003  1.06
V6 0.466 0.311 0.503  1.06
V7 0.034 0.689 0.503  1.06
V8 0.966 0.311 0.497  1.06



No. 19
Computed, not measured: Sr2TlAu at its PBEsol-relaxed geometry at the meta-GGA SCAN level of DFT.

Calculated values
As for the energy relative to the elements: -0.569 eV/atom. As for the space group: P4mm, No. 99. The total energy is -47.0858 eV/atom. As for the energy above the lowest structure with this stoichiometry: 136 meV per atom.

Cell lengths 4.467, 4.467, 6.647 Å; angles 90.00, 90.00, 90.00 degrees
Atoms (fractional coordinates):
Sr1 0.500 0.500 0.318
Sr2 0.000 0.000 0.915
Au1 0.500 0.500 0.827
Tl1 0.000 0.000 0.440



No. 20
Computed, not measured: Li3ReRu at its PBEsol-relaxed geometry at the meta-GGA SCAN level of DFT.

Calculated values
As for the energy relative to the elements: 1.707 eV/atom. As for the space group: Pm-3m, No. 221. The total energy is -20.9115 eV/atom. As for the energy above the lowest structure with this stoichiometry: 0 meV per atom.

Cell lengths 4.097, 4.097, 4.097 Å; angles 90.00, 90.00, 90.00 degrees
Site moments in Bohr magnetons follow the coordinates.
Atoms (fractional coordinates):
Ru1 0.000 0.000 0.000  -0.09
Li1 0.000 0.500 0.000  0.01
Li2 0.000 0.000 0.500  0.01
Li3 0.500 0.000 0.000  0.01
Re1 0.500 0.500 0.500  -1.71



No. 21
Computed, not measured: InRe2Mo at its PBEsol-relaxed geometry at the meta-GGA SCAN level of DFT.

Calculated values
As for the energy relative to the elements: 0.371 eV/atom. As for the space group: C2/m, No. 12. The total energy is -52.2453 eV/atom.

Cell lengths 2.985, 4.714, 4.979 Å; angles 105.96, 107.44, 90.00 degrees
Atoms (fractional coordinates):
Re1 0.266 0.278 0.532
Re2 0.734 0.722 0.468
In1 0.500 0.000 0.000
Mo1 0.000 0.500 0.000



No. 22
Computed, not measured: Rb4P3Pd3S12 at its PBEsol-relaxed geometry at the meta-GGA SCAN level of DFT.

Calculated values
As for the space group: Pm-3n, No. 223. The total energy is -15.6467 eV/atom.

Cell lengths 11.950, 11.950, 11.950 Å; angles 90.00, 90.00, 90.00 degrees
Site moments in Bohr magnetons follow the coordinates.
Atoms (fractional coordinates):
S1 0.644 0.000 0.634  0.02
S2 0.134 0.500 0.144  0.02
S3 0.144 0.866 0.500  0.02
S4 0.356 0.000 0.366  0.02
S5 0.000 0.634 0.644  0.02
S6 0.356 0.000 0.634  0.02
S7 0.366 0.644 0.000  0.02
S8 0.000 0.634 0.356  0.02
S9 0.000 0.366 0.644  0.02
S10 0.856 0.866 0.500  0.02
S11 0.866 0.500 0.144  0.02
S12 0.634 0.644 0.000  0.02
S13 0.366 0.356 0.000  0.02
S14 0.500 0.856 0.866  0.02
S15 0.000 0.366 0.356  0.02
S16 0.500 0.856 0.134  0.02
S17 0.144 0.134 0.500  0.02
S18 0.634 0.356 0.000  0.02
S19 0.134 0.500 0.856  0.02
S20 0.856 0.134 0.500  0.02
S21 0.500 0.144 0.134  0.02
S22 0.644 0.000 0.366  0.02
S23 0.500 0.144 0.866  0.02
S24 0.866 0.500 0.856  0.02
P1 0.500 0.250 0.000  0.00
P2 0.250 0.000 0.500  0.00
P3 0.000 0.500 0.250  0.00
P4 0.750 0.000 0.500  0.00
P5 0.000 0.500 0.750  0.00
P6 0.500 0.750 0.000  0.00
Rb1 0.750 0.250 0.750  0.00
Rb2 0.250 0.250 0.250  0.00
Rb3 0.250 0.750 0.750  0.00
Rb4 0.250 0.250 0.750  0.00
Rb5 0.250 0.750 0.250  0.00
Rb6 0.750 0.250 0.250  0.00
Rb7 0.750 0.750 0.250  0.00
Rb8 0.750 0.750 0.750  0.00
Pd1 0.000 0.500 0.500  0.18
Pd2 0.000 0.500 0.000  0.18
Pd3 0.500 0.000 0.500  0.18
Pd4 0.500 0.500 0.000  0.18
Pd5 0.000 0.000 0.500  0.18
Pd6 0.500 0.000 0.000  0.18



No. 23
Computed, not measured: Be2Si2Ge at its PBEsol-relaxed geometry at the meta-GGA SCAN level of DFT.

Calculated values
As for the space group: P4/mbm, No. 127. The total energy is -9.0866 eV/atom.

Cell lengths 2.493, 7.207, 7.207 Å; angles 90.00, 90.00, 90.00 degrees
Atoms (fractional coordinates):
Si1 0.000 0.865 0.635
Si2 0.000 0.135 0.365
Si3 0.000 0.635 0.135
Si4 0.000 0.365 0.865
Ge1 0.000 0.500 0.500
Ge2 0.000 0.000 0.000
Be1 0.500 0.159 0.659
Be2 0.500 0.341 0.159
Be3 0.500 0.659 0.841
Be4 0.500 0.841 0.341



No. 24
Computed, not measured: FeCo2GeBi at its PBEsol-relaxed geometry at the meta-GGA SCAN level of DFT.

Calculated values
As for the energy relative to the elements: 1.703 eV/atom. As for the space group: P4/mmm, No. 123. The total energy is -28.3782 eV/atom.

Cell lengths 4.669, 4.669, 5.362 Å; angles 90.00, 90.00, 90.00 degrees
Site moments in Bohr magnetons follow the coordinates.
Atoms (fractional coordinates):
Bi1 0.000 0.000 0.000  -0.03
Ge1 0.000 0.000 0.500  -0.06
Fe1 0.500 0.500 0.500  3.40
Co1 0.500 0.000 0.000  1.68
Co2 0.000 0.500 0.000  1.68